Entry 1:
Computed, not measured: crystalline Rb2SiPtBr at its relaxed geometry at the PBE level of DFT.

Computed properties:
Calculated total energy   -2.7146 eV/atom

Cell: 6.6175 6.6175 4.8325 Å, 90.00 90.00 90.00°
Sites, in units of the cell vectors:
Rb1 0.0000 0.5000 0.0000
Rb2 0.5000 0.0000 0.0000
Si1 0.0000 0.0000 0.5000
Pt1 0.5000 0.5000 0.5000
Br1 0.5000 0.5000 0.0000


Entry 2:
Computed, not measured: crystalline Mg2SiPd2 at its relaxed geometry at the PBE level of DFT.

Computed properties:
Calculated total energy   -4.4214 eV/atom

Cell: 5.4835 5.4835 6.8868 Å, 102.88 102.88 58.58°
Sites, in units of the cell vectors:
Mg1 0.0364 0.2720 0.1489
Mg2 0.2720 0.0364 0.6489
Mg3 0.7280 0.9636 0.3511
Mg4 0.9636 0.7280 0.8511
Si1 0.3153 0.6847 0.2500
Si2 0.6847 0.3153 0.7500
Pd1 0.2499 0.5034 0.5119
Pd2 0.4966 0.7501 0.9881
Pd3 0.5034 0.2499 0.0119
Pd4 0.7501 0.4966 0.4881


Entry 3:
Computed, not measured: crystalline Tb5Sb2Ir at its relaxed geometry at the PBE level of DFT.

Computed properties:
Calculated total energy   -5.5834 eV/atom

Cell: 5.5374 5.5374 16.1421 Å, 90.00 90.00 116.47°
Sites, in units of the cell vectors:
Tb1 0.0680 0.9320 0.5966
Tb2 0.0680 0.9320 0.9034
Tb3 0.2495 0.7505 0.2500
Tb4 0.4038 0.5962 0.6338
Tb5 0.4038 0.5962 0.8662
Tb6 0.5962 0.4038 0.1338
Tb7 0.5962 0.4038 0.3662
Tb8 0.7505 0.2495 0.7500
Tb9 0.9320 0.0680 0.0966
Tb10 0.9320 0.0680 0.4034
Sb1 0.2760 0.7240 0.0590
Sb2 0.2760 0.7240 0.4410
Sb3 0.7240 0.2760 0.5590
Sb4 0.7240 0.2760 0.9410
Ir1 0.1761 0.8239 0.7500
Ir2 0.8239 0.1761 0.2500


What is the calculated total energy in the third record? -5.5834 eV/atom